[1]
Entry from Alexandria: an optimized crystal structure of Gd2SnPd (PBE).

POSCAR file:
```
Gd2SnPd
1.0
5.199 0.000 0.000
2.599 4.502 0.000
2.599 1.501 4.245
Gd Sn Pd
2 1 1
Cartesian
2.599 1.501 1.061 Gd
7.798 4.502 3.184 Gd
5.199 3.002 2.122 Sn
0.000 0.000 0.000 Pd
```

As for the density of states at the Fermi level: 3.26 states/eV per cell. As for the space group: Fm-3m. The value obtained for the calculated total energy is -40.32 eV for the cell shown.

=====

[2]
Entry from Alexandria: an optimized crystal structure of Gd2SnPd (PBE).

POSCAR file:
```
Gd2SnPd
1.0
3.563 0.000 0.000
0.000 3.563 0.000
0.000 0.000 7.768
Gd Sn Pd
2 1 1
Cartesian
0.000 0.000 6.018 Gd
0.000 0.000 1.750 Gd
1.781 1.781 3.884 Sn
1.781 1.781 0.000 Pd
```

As for the density of states at the Fermi level: 3.18 states/eV per cell. As for the space group: P4/mmm. The value obtained for the calculated total energy is -40.40 eV for the cell shown.

=====

[3]
Entry from Alexandria: an optimized crystal structure of GdSnPd4 (PBE).

POSCAR file:
```
GdSnPd4
1.0
-1.442 -4.521 2.590
2.509 -1.411 4.576
-2.615 0.306 4.721
Gd Sn Pd
1 1 4
Cartesian
-0.387 -1.406 2.972 Gd
0.000 0.000 0.000 Sn
0.342 -3.671 5.067 Pd
-2.224 -2.810 5.140 Pd
-0.968 -3.517 7.432 Pd
-0.246 -1.253 6.135 Pd
```

As for the density of states at the Fermi level: 5.15 states/eV per cell. As for the space group: F-43m. The value obtained for the calculated total energy is -42.55 eV for the cell shown.

=====

[4]
Entry from Alexandria: an optimized crystal structure of GdSn2Pd (PBE).

POSCAR file:
```
GdSn2Pd
1.0
3.385 0.000 0.000
1.692 2.931 0.000
1.692 0.977 10.342
Gd Sn Pd
1 2 1
Cartesian
0.000 0.000 0.000 Gd
1.692 0.977 7.185 Sn
5.077 2.931 3.157 Sn
3.385 1.954 5.171 Pd
```

As for the density of states at the Fermi level: 2.70 states/eV per cell. As for the space group: R-3m. The value obtained for the calculated total energy is -27.89 eV for the cell shown.

=====

[5]
Entry from Alexandria: an optimized crystal structure of GdSn2Pd (PBE).

POSCAR file:
```
GdSn2Pd
1.0
4.467 0.000 0.000
0.000 4.512 0.000
0.000 0.000 4.512
Gd Sn Pd
1 2 1
Cartesian
2.234 2.256 2.256 Gd
0.000 0.000 2.256 Sn
0.000 2.256 0.000 Sn
2.234 0.000 0.000 Pd
```

As for the density of states at the Fermi level: 2.47 states/eV per cell. As for the space group: P4/mmm. The value obtained for the calculated total energy is -29.68 eV for the cell shown.

=====

[6]
Entry from Alexandria: an optimized crystal structure of Gd2SnPd (PBE).

POSCAR file:
```
Gd2SnPd
1.0
-0.824 -0.436 -3.808
-3.701 -0.589 -1.150
-2.590 7.826 -2.354
Gd Sn Pd
2 1 1
Cartesian
-1.743 1.429 -1.805 Gd
-5.372 5.371 -5.507 Gd
-3.557 3.400 -3.656 Sn
0.000 0.000 0.000 Pd
```

As for the density of states at the Fermi level: 3.58 states/eV per cell. As for the space group: R-3m. The value obtained for the calculated total energy is -39.71 eV for the cell shown.

=====

[7]
Entry from Alexandria: an optimized crystal structure of GdSnPd (PBE).

POSCAR file:
```
GdSnPd
1.0
-1.173 -3.575 -2.774
-3.271 -3.302 5.638
-6.864 3.674 -1.831
Gd Sn Pd
4 4 4
Cartesian
-2.363 0.159 -1.174 Gd
-3.363 -1.832 1.814 Gd
-8.946 -3.361 2.208 Gd
-7.946 -1.370 -0.781 Gd
-7.186 1.835 -1.294 Sn
-6.577 -1.018 2.124 Sn
-4.123 -5.037 2.327 Sn
-4.732 -2.185 -1.091 Sn
-5.271 0.287 -0.109 Pd
-9.169 -0.153 2.106 Pd
-6.038 -3.489 1.143 Pd
-2.140 -3.049 -1.073 Pd
```

As for the density of states at the Fermi level: 7.77 states/eV per cell. As for the space group: Pnma. The value obtained for the calculated total energy is -104.10 eV for the cell shown.

=====

[8]
Entry from Alexandria: an optimized crystal structure of GdSnPd (PBE).

POSCAR file:
```
GdSnPd
1.0
-2.642 0.115 -2.226
-2.017 -1.594 2.311
0.788 5.716 2.045
Gd Sn Pd
1 1 1
Cartesian
-2.664 0.341 0.495 Gd
-0.947 3.058 1.282 Sn
-3.668 3.583 1.855 Pd
```

As for the density of states at the Fermi level: 2.55 states/eV per cell. As for the space group: I4mm. The value obtained for the calculated total energy is -25.23 eV for the cell shown.

=====

[9]
Entry from Alexandria: an optimized crystal structure of TbGdSnPd (PBE).

POSCAR file:
```
TbGdSnPd
1.0
5.193 0.000 0.000
2.596 4.497 0.000
2.596 1.499 4.240
Gd Tb Sn Pd
1 1 1 1
Cartesian
7.789 4.497 3.180 Gd
2.596 1.499 1.060 Tb
5.193 2.998 2.120 Sn
0.000 0.000 0.000 Pd
```

As for the density of states at the Fermi level: 3.65 states/eV per cell. As for the space group: F-43m. The value obtained for the calculated total energy is -30.85 eV for the cell shown.

=====

[10]
Entry from Alexandria: an optimized crystal structure of GdYSnPd (PBE).

POSCAR file:
```
GdYSnPd
1.0
5.187 0.000 0.000
2.593 4.492 0.000
2.593 1.497 4.235
Y Gd Sn Pd
1 1 1 1
Cartesian
7.780 4.492 3.176 Y
2.593 1.497 1.059 Gd
0.000 0.000 0.000 Sn
5.187 2.994 2.117 Pd
```

As for the density of states at the Fermi level: 3.15 states/eV per cell. As for the space group: F-43m. The value obtained for the calculated total energy is -32.73 eV for the cell shown.

=====

[11]
Entry from Alexandria: an optimized crystal structure of SrGd3Pd (PBE).

POSCAR file:
```
SrGd3Pd
1.0
5.642 0.000 0.000
0.000 5.642 0.000
0.000 0.000 5.642
Sr Gd Pd
1 3 1
Cartesian
2.821 2.821 2.821 Sr
0.000 2.821 0.000 Gd
0.000 0.000 2.821 Gd
2.821 0.000 0.000 Gd
0.000 0.000 0.000 Pd
```

As for the density of states at the Fermi level: 13.38 states/eV per cell. As for the space group: Pm-3m. The value obtained for the calculated total energy is -50.00 eV for the cell shown.

=====

[12]
Entry from Alexandria: an optimized crystal structure of SrGdPd (PBE).

POSCAR file:
```
SrGdPd
1.0
3.681 0.000 0.000
0.000 3.681 0.000
-1.840 -1.840 6.712
Sr Gd Pd
1 1 1
Cartesian
0.000 0.000 0.360 Sr
0.000 0.000 3.874 Gd
1.840 1.840 2.479 Pd
```

As for the density of states at the Fermi level: 3.83 states/eV per cell. As for the space group: I4mm. The value obtained for the calculated total energy is -22.29 eV for the cell shown.

=====

Number 1: energy of formation -0.740 eV per atom. Number 2: energy of formation -0.761 eV per atom. Number 3: energy of formation -0.615 eV per atom. Number 4: energy of formation -0.153 eV per atom. Number 5: energy of formation -0.601 eV per atom. Number 6: energy of formation -0.588 eV per atom. Number 7: energy of formation -0.916 eV per atom. Number 8: energy of formation -0.652 eV per atom. Number 9: energy of formation -0.736 eV per atom. Number 10: energy of formation -0.748 eV per atom. Number 11: energy of formation -0.177 eV per atom. Number 12: energy of formation -0.445 eV per atom.